(1)
Below is crystalline Li3Pm2HoS6 at its relaxed geometry, with properties calculated at the GGA-PBE level.

Unit cell a=6.902 b=11.966 c=6.601 alpha=90.00 beta=110.25 gamma=90.00
Space group C2/m (No. 12)
Inequivalent atoms, fractional coordinates:
Li1 0.000 0.000 0.000 x2
Li2 0.000 0.339 0.000 x4
Pm1 0.000 0.167 0.500 x4
Ho1 0.000 0.500 0.500 x2
S1 0.242 0.500 0.248 x4
S2 0.247 0.338 0.754 x8

- energy relative to the elements, uncorrected (eV/atom) = -1.814
- energy (eV for the cell shown) = -132.7
- D(E_F) (states/eV per atom) = 0.000
- theoretical density (kg/m3) = 4339



(2)
Below is crystalline La5Ge5Ir2 at its relaxed geometry, with properties calculated at the GGA-PBE level.

Unit cell a=15.691 b=4.322 c=11.657 alpha=90.00 beta=130.00 gamma=90.00
Space group C2/m (No. 12)
Inequivalent atoms, fractional coordinates:
La1 0.000 0.000 0.000 x2
La2 0.123 0.500 0.818 x4
La3 0.198 0.500 0.584 x4
Ge1 0.000 0.000 0.500 x2
Ge2 0.055 0.000 0.312 x4
Ge3 0.206 0.500 0.149 x4
Ir1 0.116 0.500 0.266 x4

- energy (eV for the cell shown) = -149.8
- energy of formation from the pure elements (eV per atom) = -0.7883
- D(E_F) (states/eV per atom) = 0.701
- theoretical density (kg/m3) = 7907



(3)
Below is crystalline La2Ge3BiPt4 at its relaxed geometry, with properties calculated at the GGA-PBE level.

Unit cell a=4.398 b=4.398 c=10.986 alpha=90.00 beta=90.00 gamma=90.00
Space group P-4m2 (No. 115)
Inequivalent atoms, fractional coordinates:
La1 0.000 0.500 0.233 x2
Ge1 0.000 0.500 0.880 x2
Ge2 0.500 0.500 0.500 x1
Bi1 0.000 0.000 0.500 x1
Pt1 0.000 0.000 0.000 x1
Pt2 0.000 0.500 0.657 x2
Pt3 0.500 0.500 0.000 x1

- energy (eV for the cell shown) = -60.3
- energy of formation from the pure elements (eV per atom) = -0.8590
- D(E_F) (states/eV per atom) = 0.565
- theoretical density (kg/m3) = 11605



(4)
Below is crystalline Ba2BiPb2 at its relaxed geometry, with properties calculated at the GGA-PBE level.

Unit cell a=8.669 b=8.669 c=5.245 alpha=90.00 beta=90.00 gamma=90.00
Space group P4/mbm (No. 127)
Inequivalent atoms, fractional coordinates:
Ba1 0.176 0.324 0.000 x4
Bi1 0.000 0.000 0.500 x2
Pb1 0.126 0.626 0.500 x4

- energy (eV for the cell shown) = -36.0
- energy of formation from the pure elements (eV per atom) = -0.5706
- D(E_F) (states/eV per atom) = 0.455
- theoretical density (kg/m3) = 7567